The following is a DFT calculation (PBE-GGA) of a geometry-optimized CeNdZnSi structure.

Cell and atoms, written as CIF:
```
data_CeNdZnSi
_space_group_name_H-M_alt 'P 1'
_space_group_IT_number 1
_space_group_name_Hall 'P 1'
_cell_length_a 7.245
_cell_length_b 7.245
_cell_length_c 7.245
_cell_angle_alpha 90.00
_cell_angle_beta 90.00
_cell_angle_gamma 90.00
loop_
_atom_site_label
_atom_site_fract_x
_atom_site_fract_y
_atom_site_fract_z
_atom_site_occupancy
Ce1 0.000 0.000 0.000 1
Ce2 0.000 0.500 0.500 1
Ce3 0.500 0.000 0.500 1
Ce4 0.500 0.500 0.000 1
Nd1 0.000 0.000 0.500 1
Nd2 0.000 0.500 0.000 1
Nd3 0.500 0.000 0.000 1
Nd4 0.500 0.500 0.500 1
Zn1 0.250 0.250 0.750 1
Zn2 0.250 0.750 0.250 1
Zn3 0.750 0.250 0.250 1
Zn4 0.750 0.750 0.750 1
Si1 0.250 0.250 0.250 1
Si2 0.250 0.750 0.750 1
Si3 0.750 0.250 0.750 1
Si4 0.750 0.750 0.250 1
```

Raw formation energy (eV/f.u.): -1.52
Density of states at the Fermi level (states/eV/f.u.): 7.33

***

The following is a DFT calculation (PBE-GGA) of a geometry-optimized CeNdSm14 structure.

Cell and atoms, written as CIF:
```
data_CeNdSm14
_space_group_name_H-M_alt 'P 1'
_space_group_IT_number 1
_space_group_name_Hall 'P 1'
_cell_length_a 7.261
_cell_length_b 7.261
_cell_length_c 10.256
_cell_angle_alpha 90.00
_cell_angle_beta 90.00
_cell_angle_gamma 90.00
loop_
_atom_site_label
_atom_site_fract_x
_atom_site_fract_y
_atom_site_fract_z
_atom_site_occupancy
Ce1 0.000 0.000 0.000 1
Nd1 0.500 0.500 0.000 1
Sm1 0.000 0.000 0.500 1
Sm2 0.000 0.500 0.000 1
Sm3 0.000 0.500 0.500 1
Sm4 0.248 0.248 0.249 1
Sm5 0.248 0.248 0.751 1
Sm6 0.248 0.752 0.249 1
Sm7 0.248 0.752 0.751 1
Sm8 0.500 0.000 0.000 1
Sm9 0.500 0.000 0.500 1
Sm10 0.500 0.500 0.500 1
Sm11 0.752 0.248 0.249 1
Sm12 0.752 0.248 0.751 1
Sm13 0.752 0.752 0.249 1
Sm14 0.752 0.752 0.751 1
```

Density of states at the Fermi level (states/eV/f.u.): 27.36
DFT formation energy (eV per atom): 0.031

***

The following is a DFT calculation (PBE-GGA) of a geometry-optimized CeNd2Sm6 structure.

Cell and atoms, written as CIF:
```
data_CeNd2Sm6
_space_group_name_H-M_alt 'P 1'
_space_group_IT_number 1
_space_group_name_Hall 'P 1'
_cell_length_a 6.296
_cell_length_b 6.296
_cell_length_c 8.894
_cell_angle_alpha 105.48
_cell_angle_beta 105.48
_cell_angle_gamma 67.95
loop_
_atom_site_label
_atom_site_fract_x
_atom_site_fract_y
_atom_site_fract_z
_atom_site_occupancy
Ce1 0.000 0.000 0.000 1
Nd1 0.224 0.224 0.463 1
Nd2 0.776 0.776 0.537 1
Sm1 0.201 0.678 0.295 1
Sm2 0.322 0.799 0.705 1
Sm3 0.339 0.339 0.912 1
Sm4 0.661 0.661 0.088 1
Sm5 0.678 0.201 0.295 1
Sm6 0.799 0.322 0.705 1
```

Density of states at the Fermi level (states/eV/f.u.): 17.07
DFT formation energy (eV per atom): 0.154

***

The following is a DFT calculation (PBE-GGA) of a geometry-optimized CeNdSm2 structure.

Cell and atoms, written as CIF:
```
data_CeNdSm2
_space_group_name_H-M_alt 'P 1'
_space_group_IT_number 1
_space_group_name_Hall 'P 1'
_cell_length_a 3.480
_cell_length_b 3.480
_cell_length_c 37.755
_cell_angle_alpha 90.00
_cell_angle_beta 90.00
_cell_angle_gamma 120.00
loop_
_atom_site_label
_atom_site_fract_x
_atom_site_fract_y
_atom_site_fract_z
_atom_site_occupancy
Ce1 0.000 0.000 0.000 1
Ce2 0.333 0.667 0.667 1
Ce3 0.667 0.333 0.333 1
Nd1 0.000 0.000 0.500 1
Nd2 0.333 0.667 0.167 1
Nd3 0.667 0.333 0.833 1
Sm1 0.000 0.000 0.087 1
Sm2 0.000 0.000 0.913 1
Sm3 0.333 0.667 0.579 1
Sm4 0.333 0.667 0.754 1
Sm5 0.667 0.333 0.246 1
Sm6 0.667 0.333 0.421 1
```

Energy above the most stable polymorph in this dataset (kJ/mol of atoms): 13.0
Density of states at the Fermi level (states/eV/f.u.): 7.91
DFT formation energy (eV per atom): 0.197

***

The following is a DFT calculation (PBE-GGA) of a geometry-optimized CeNdSm4 structure.

Cell and atoms, written as CIF:
```
data_CeNdSm4
_space_group_name_H-M_alt 'P 1'
_space_group_IT_number 1
_space_group_name_Hall 'P 1'
_cell_length_a 11.593
_cell_length_b 3.431
_cell_length_c 11.585
_cell_angle_alpha 90.00
_cell_angle_beta 118.44
_cell_angle_gamma 90.00
loop_
_atom_site_label
_atom_site_fract_x
_atom_site_fract_y
_atom_site_fract_z
_atom_site_occupancy
Ce1 0.000 0.000 0.000 1
Ce2 0.500 0.500 0.000 1
Nd1 0.000 0.500 0.500 1
Nd2 0.500 0.000 0.500 1
Sm1 0.157 0.000 0.339 1
Sm2 0.158 0.500 0.846 1
Sm3 0.342 0.000 0.154 1
Sm4 0.343 0.500 0.661 1
Sm5 0.657 0.500 0.339 1
Sm6 0.658 0.000 0.846 1
Sm7 0.842 0.500 0.154 1
Sm8 0.843 0.000 0.661 1
```

Energy above the most stable polymorph in this dataset (kJ/mol of atoms): 0.0
Density of states at the Fermi level (states/eV/f.u.): 14.89
DFT formation energy (eV per atom): 0.215

***

The following is a DFT calculation (PBE-GGA) of a geometry-optimized CeNdSm6 structure.

Cell and atoms, written as CIF:
```
data_CeNdSm6
_space_group_name_H-M_alt 'P 1'
_space_group_IT_number 1
_space_group_name_Hall 'P 1'
_cell_length_a 8.874
_cell_length_b 8.105
_cell_length_c 6.281
_cell_angle_alpha 74.98
_cell_angle_beta 61.90
_cell_angle_gamma 43.12
loop_
_atom_site_label
_atom_site_fract_x
_atom_site_fract_y
_atom_site_fract_z
_atom_site_occupancy
Ce1 0.000 0.000 0.000 1
Nd1 0.500 0.500 0.500 1
Sm1 0.124 0.124 0.376 1
Sm2 0.247 0.247 0.753 1
Sm3 0.376 0.376 0.124 1
Sm4 0.624 0.624 0.876 1
Sm5 0.753 0.753 0.247 1
Sm6 0.876 0.876 0.624 1
```

Energy above the most stable polymorph in this dataset (kJ/mol of atoms): 0.4
Density of states at the Fermi level (states/eV/f.u.): 16.30
DFT formation energy (eV per atom): 0.049

***

The following is a DFT calculation (PBE-GGA) of a geometry-optimized CeNdSm4 structure.

Cell and atoms, written as CIF:
```
data_CeNdSm4
_space_group_name_H-M_alt 'P 1'
_space_group_IT_number 1
_space_group_name_Hall 'P 1'
_cell_length_a 8.497
_cell_length_b 8.497
_cell_length_c 8.497
_cell_angle_alpha 133.57
_cell_angle_beta 92.08
_cell_angle_gamma 105.93
loop_
_atom_site_label
_atom_site_fract_x
_atom_site_fract_y
_atom_site_fract_z
_atom_site_occupancy
Ce1 0.500 0.000 0.000 1
Ce2 0.500 0.500 0.500 1
Nd1 0.000 0.000 0.000 1
Nd2 0.500 0.000 0.500 1
Sm1 0.170 0.174 0.504 1
Sm2 0.170 0.666 0.996 1
Sm3 0.172 0.666 0.506 1
Sm4 0.341 0.334 0.006 1
Sm5 0.659 0.666 0.994 1
Sm6 0.828 0.334 0.494 1
Sm7 0.830 0.334 0.004 1
Sm8 0.830 0.826 0.496 1
```

Energy above the most stable polymorph in this dataset (kJ/mol of atoms): 3.1
Density of states at the Fermi level (states/eV/f.u.): 14.25
DFT formation energy (eV per atom): 0.246

***

The following is a DFT calculation (PBE-GGA) of a geometry-optimized CeNd2Sm8 structure.

Cell and atoms, written as CIF:
```
data_CeNd2Sm8
_space_group_name_H-M_alt 'P 1'
_space_group_IT_number 1
_space_group_name_Hall 'P 1'
_cell_length_a 9.604
_cell_length_b 9.604
_cell_length_c 8.126
_cell_angle_alpha 104.65
_cell_angle_beta 104.65
_cell_angle_gamma 30.98
loop_
_atom_site_label
_atom_site_fract_x
_atom_site_fract_y
_atom_site_fract_z
_atom_site_occupancy
Ce1 0.000 0.000 0.000 1
Nd1 0.272 0.272 0.362 1
Nd2 0.728 0.728 0.638 1
Sm1 0.090 0.090 0.452 1
Sm2 0.180 0.180 0.908 1
Sm3 0.365 0.365 0.822 1
Sm4 0.455 0.455 0.269 1
Sm5 0.545 0.545 0.731 1
Sm6 0.635 0.635 0.178 1
Sm7 0.820 0.820 0.092 1
Sm8 0.910 0.910 0.548 1
```

Energy above the most stable polymorph in this dataset (kJ/mol of atoms): 0.0
Density of states at the Fermi level (states/eV/f.u.): 19.67
DFT formation energy (eV per atom): 0.038

***

The following is a DFT calculation (PBE-GGA) of a geometry-optimized CeNd2Sm structure.

Cell and atoms, written as CIF:
```
data_CeNd2Sm
_space_group_name_H-M_alt 'P 1'
_space_group_IT_number 1
_space_group_name_Hall 'P 1'
_cell_length_a 3.498
_cell_length_b 3.498
_cell_length_c 37.900
_cell_angle_alpha 90.00
_cell_angle_beta 90.00
_cell_angle_gamma 120.00
loop_
_atom_site_label
_atom_site_fract_x
_atom_site_fract_y
_atom_site_fract_z
_atom_site_occupancy
Ce1 0.000 0.000 0.000 1
Ce2 0.333 0.667 0.667 1
Ce3 0.667 0.333 0.333 1
Nd1 0.000 0.000 0.088 1
Nd2 0.000 0.000 0.912 1
Nd3 0.333 0.667 0.579 1
Nd4 0.333 0.667 0.754 1
Nd5 0.667 0.333 0.246 1
Nd6 0.667 0.333 0.421 1
Sm1 0.000 0.000 0.500 1
Sm2 0.333 0.667 0.167 1
Sm3 0.667 0.333 0.833 1
```

Energy above the most stable polymorph in this dataset (kJ/mol of atoms): 12.7
Density of states at the Fermi level (states/eV/f.u.): 8.15
DFT formation energy (eV per atom): 0.194

***

The following is a DFT calculation (PBE-GGA) of a geometry-optimized CeNd4Sm5 structure.

Cell and atoms, written as CIF:
```
data_CeNd4Sm5
_space_group_name_H-M_alt 'P 1'
_space_group_IT_number 1
_space_group_name_Hall 'P 1'
_cell_length_a 9.502
_cell_length_b 9.502
_cell_length_c 8.798
_cell_angle_alpha 116.67
_cell_angle_beta 116.67
_cell_angle_gamma 30.98
loop_
_atom_site_label
_atom_site_fract_x
_atom_site_fract_y
_atom_site_fract_z
_atom_site_occupancy
Ce1 0.000 0.000 0.000 1
Nd1 0.178 0.178 0.423 1
Nd2 0.467 0.467 0.728 1
Nd3 0.533 0.533 0.272 1
Nd4 0.822 0.822 0.577 1
Sm1 0.000 0.000 0.500 1
Sm2 0.327 0.327 0.885 1
Sm3 0.337 0.337 0.289 1
Sm4 0.663 0.663 0.711 1
Sm5 0.673 0.673 0.115 1
```

Density of states at the Fermi level (states/eV/f.u.): 18.65
DFT formation energy (eV per atom): 0.256

***

The following is a DFT calculation (PBE-GGA) of a geometry-optimized CeNd2Sm structure.

Cell and atoms, written as CIF:
```
data_CeNd2Sm
_space_group_name_H-M_alt 'P 1'
_space_group_IT_number 1
_space_group_name_Hall 'P 1'
_cell_length_a 8.188
_cell_length_b 8.188
_cell_length_c 8.188
_cell_angle_alpha 90.00
_cell_angle_beta 90.00
_cell_angle_gamma 90.00
loop_
_atom_site_label
_atom_site_fract_x
_atom_site_fract_y
_atom_site_fract_z
_atom_site_occupancy
Ce1 0.000 0.000 0.000 1
Ce2 0.000 0.500 0.500 1
Ce3 0.500 0.000 0.500 1
Ce4 0.500 0.500 0.000 1
Nd1 0.250 0.250 0.250 1
Nd2 0.250 0.250 0.750 1
Nd3 0.250 0.750 0.250 1
Nd4 0.250 0.750 0.750 1
Nd5 0.750 0.250 0.250 1
Nd6 0.750 0.250 0.750 1
Nd7 0.750 0.750 0.250 1
Nd8 0.750 0.750 0.750 1
Sm1 0.000 0.000 0.500 1
Sm2 0.000 0.500 0.000 1
Sm3 0.500 0.000 0.000 1
Sm4 0.500 0.500 0.500 1
```

Energy above the most stable polymorph in this dataset (kJ/mol of atoms): 13.5
Density of states at the Fermi level (states/eV/f.u.): 10.91
DFT formation energy (eV per atom): 0.203

***

The following is a DFT calculation (PBE-GGA) of a geometry-optimized CeNdSm structure.

Cell and atoms, written as CIF:
```
data_CeNdSm
_space_group_name_H-M_alt 'P 1'
_space_group_IT_number 1
_space_group_name_Hall 'P 1'
_cell_length_a 3.571
_cell_length_b 3.571
_cell_length_c 15.206
_cell_angle_alpha 90.00
_cell_angle_beta 90.00
_cell_angle_gamma 90.00
loop_
_atom_site_label
_atom_site_fract_x
_atom_site_fract_y
_atom_site_fract_z
_atom_site_occupancy
Ce1 0.000 0.000 0.000 1
Ce2 0.500 0.500 0.500 1
Nd1 0.000 0.000 0.660 1
Nd2 0.500 0.500 0.160 1
Sm1 0.000 0.000 0.342 1
Sm2 0.500 0.500 0.842 1
```

Energy above the most stable polymorph in this dataset (kJ/mol of atoms): 0.7
Density of states at the Fermi level (states/eV/f.u.): 5.59
DFT formation energy (eV per atom): 0.073

***

Total moment values, unit μB/f.u., following the record order: 0.8, 1.0, 1.0, 0.8, 1.4, 1.1, 1.3, 1.0, 0.9, 1.0, 3.1, 0.2.